An optimized crystal structure of BeCr2Pt. Source: the Alexandria database, functional GGA-PBE.

abc: 4.8166 4.8166 3.6999
angles: 112.50 112.50 36.43
Fractional coordinates of all 4 atoms:
1 Be 0.0000 0.0000 0.0000
2 Cr 0.2558 0.2558 0.7572
3 Cr 0.7442 0.7442 0.2428
4 Pt 0.5000 0.5000 0.5000

For the energy of formation, the calculation gives -209 meV/atom. For the size of the total moment, the calculation gives 0.000 μB per formula unit. For the density of states at the Fermi level, the calculation gives 0.89 states/eV per atom. The total energy comes out at -7.462 eV/atom. As for the space group: C2/m, No. 12.